## GaCuBr (PBE)

Data for GaCuBr after structural relaxation.

Cell lengths 3.9889, 6.2665, 11.6769 Å; angles 90.00, 90.00, 90.00 degrees
Closest atoms and distances in Å follow each position.
Fractional coordinates of all 12 atoms:
Br 0.0770 0.9919 0.3521  1 Ga 2.28
Br 0.5770 0.0081 0.6479  1 Ga 2.28
Br 0.0770 0.4919 0.6479  1 Ga 2.28
Br 0.5770 0.5081 0.3521  1 Ga 2.28
Cu 0.5759 0.1153 0.0316  4 Ga 2.48-2.56, 4 Cu 2.57-2.61
Cu 0.0759 0.3847 0.0316  4 Ga 2.48-2.56, 4 Cu 2.57-2.61
Cu 0.5759 0.6153 0.9684  4 Ga 2.48-2.56, 4 Cu 2.57-2.61
Cu 0.0759 0.8847 0.9684  4 Ga 2.48-2.56, 4 Cu 2.57-2.61
Ga 0.5761 0.4461 0.1600  1 Br 2.28, 3 Cu 2.48-2.52
Ga 0.0761 0.5539 0.8400  1 Br 2.28, 3 Cu 2.48-2.52
Ga 0.5761 0.9461 0.8400  1 Br 2.28, 3 Cu 2.48-2.52
Ga 0.0761 0.0539 0.1600  1 Br 2.28, 3 Cu 2.48-2.52

Computed properties:
The calculation puts the density of states at the Fermi level at 0.2221 states/eV per atom. The magnetic moment comes out at 0.000 μB/atom. As for the space-group type: Pbcm (57). As for the calculated total energy: -37.23 eV/cell. The value obtained for the theoretical density is 4.851 g cm⁻³.